1.
An optimized crystal structure of ZrNbAs2Se, computed with PBE-GGA.

Calculated values
The value obtained for the energy above the most stable polymorph in this dataset is 0 kJ/mol of formula units. The raw formation energy comes out at 0.2262 eV per atom.

```
data_ZrNbAs2Se
_chemical_formula_sum 'Zr1 Nb1 As2 Se1'
_cell_length_a 4.9566
_cell_length_b 4.9566
_cell_length_c 4.9792
_cell_angle_alpha 90.00
_cell_angle_beta 90.00
_cell_angle_gamma 90.00
_space_group_name_H-M_alt 'P 4/m m m'
_space_group_IT_number 123
_space_group_name_Hall '-P 4 2'
loop_
_atom_site_label
_atom_site_type_symbol
_atom_site_fract_x
_atom_site_fract_y
_atom_site_fract_z
Zr1 Zr 0.0000 0.0000 0.0000
Nb1 Nb 0.5000 0.5000 0.5000
As1 As 0.0000 0.5000 0.5000
Se1 Se 0.5000 0.5000 0.0000
```

***

2.
An optimized crystal structure of ZrNbAs2Se, computed with PBE-GGA.

Calculated values
The value obtained for the energy above the most stable polymorph in this dataset is 140 kJ/mol of formula units. The raw formation energy comes out at 0.5164 eV per atom.

```
data_ZrNbAs2Se
_chemical_formula_sum 'Zr1 Nb1 As2 Se1'
_cell_length_a 5.1236
_cell_length_b 5.1236
_cell_length_c 5.1038
_cell_angle_alpha 90.00
_cell_angle_beta 90.00
_cell_angle_gamma 90.00
_space_group_name_H-M_alt 'P 4/m m m'
_space_group_IT_number 123
_space_group_name_Hall '-P 4 2'
loop_
_atom_site_label
_atom_site_type_symbol
_atom_site_fract_x
_atom_site_fract_y
_atom_site_fract_z
Zr1 Zr 0.0000 0.0000 0.0000
Nb1 Nb 0.5000 0.5000 0.5000
As1 As 0.0000 0.5000 0.0000
Se1 Se 0.0000 0.0000 0.5000
```

***

3.
An optimized crystal structure of NbSiAs3, computed with PBE-GGA.

Calculated values
The value obtained for the energy above the most stable polymorph in this dataset is 110 kJ/mol of formula units. The raw formation energy comes out at 0.8771 eV per atom.

```
data_NbSiAs3
_chemical_formula_sum 'Nb1 Si1 As3'
_cell_length_a 4.6770
_cell_length_b 4.6770
_cell_length_c 4.6770
_cell_angle_alpha 90.00
_cell_angle_beta 90.00
_cell_angle_gamma 90.00
_space_group_name_H-M_alt 'P m -3 m'
_space_group_IT_number 221
_space_group_name_Hall '-P 4 2 3'
loop_
_atom_site_label
_atom_site_type_symbol
_atom_site_fract_x
_atom_site_fract_y
_atom_site_fract_z
Nb1 Nb 0.0000 0.0000 0.0000
Si1 Si 0.5000 0.5000 0.5000
As1 As 0.0000 0.5000 0.5000
```

***

4.
An optimized crystal structure of NbSiAs3, computed with PBE-GGA.

Calculated values
The value obtained for the energy above the most stable polymorph in this dataset is 0 kJ/mol of formula units. The raw formation energy comes out at 0.6486 eV per atom.

```
data_NbSiAs3
_chemical_formula_sum 'Nb1 Si1 As3'
_cell_length_a 4.9938
_cell_length_b 4.9938
_cell_length_c 4.9938
_cell_angle_alpha 90.00
_cell_angle_beta 90.00
_cell_angle_gamma 90.00
_space_group_name_H-M_alt 'P m -3 m'
_space_group_IT_number 221
_space_group_name_Hall '-P 4 2 3'
loop_
_atom_site_label
_atom_site_type_symbol
_atom_site_fract_x
_atom_site_fract_y
_atom_site_fract_z
Nb1 Nb 0.0000 0.0000 0.0000
Si1 Si 0.5000 0.5000 0.5000
As1 As 0.0000 0.0000 0.5000
```

***

5.
An optimized crystal structure of Nb5Si2As2, computed with PBE-GGA.

Calculated values
The raw formation energy comes out at -0.6176 eV per atom.

```
data_Nb5Si2As2
_chemical_formula_sum 'Nb20 Si8 As8'
_cell_length_a 13.3886
_cell_length_b 6.7538
_cell_length_c 6.6944
_cell_angle_alpha 90.00
_cell_angle_beta 90.00
_cell_angle_gamma 90.00
_space_group_name_H-M_alt 'C m c e'
_space_group_IT_number 64
_space_group_name_Hall '-C 2ac 2'
loop_
_atom_site_label
_atom_site_type_symbol
_atom_site_fract_x
_atom_site_fract_y
_atom_site_fract_z
Nb1 Nb 0.0000 0.0000 0.0000
Nb2 Nb 0.1300 0.1666 0.3309
Si1 Si 0.0000 0.1261 0.6267
As1 As 0.2074 0.0000 0.0000
```

***

6.
An optimized crystal structure of NbSiAs, computed with PBE-GGA.

Calculated values
The raw formation energy comes out at -0.6080 eV per atom.

```
data_NbSiAs
_chemical_formula_sum 'Nb2 Si2 As2'
_cell_length_a 3.5137
_cell_length_b 3.5137
_cell_length_c 7.9652
_cell_angle_alpha 90.00
_cell_angle_beta 90.00
_cell_angle_gamma 90.00
_space_group_name_H-M_alt 'P 4/n m m'
_space_group_IT_number 129
loop_
_space_group_symop_operation_xyz
'x,y,z'
'-x,-y,-z'
'-y+1/2,x,z'
'y+1/2,-x,-z'
'-x+1/2,-y+1/2,z'
'x+1/2,y+1/2,-z'
'y,-x+1/2,z'
'-y,x+1/2,-z'
'x+1/2,-y,-z'
'-x+1/2,y,z'
'-y,-x,-z'
'y,x,z'
'-x,y+1/2,-z'
'x,-y+1/2,z'
'y+1/2,x+1/2,-z'
'-y+1/2,-x+1/2,z'
loop_
_atom_site_label
_atom_site_type_symbol
_atom_site_fract_x
_atom_site_fract_y
_atom_site_fract_z
Nb1 Nb 0.2500 0.2500 0.2464
Si1 Si 0.2500 0.7500 0.5000
As1 As 0.2500 0.2500 0.8906
```

***

7.
An optimized crystal structure of Nb5Si2As, computed with PBE-GGA.

Calculated values
The raw formation energy comes out at -0.6547 eV per atom.

```
data_Nb5Si2As
_chemical_formula_sum 'Nb20 Si8 As4'
_cell_length_a 6.6372
_cell_length_b 6.6372
_cell_length_c 11.9525
_cell_angle_alpha 90.00
_cell_angle_beta 90.00
_cell_angle_gamma 90.00
_space_group_name_H-M_alt 'I 4/m c m'
_space_group_IT_number 140
_space_group_name_Hall '-I 4 2c'
loop_
_atom_site_label
_atom_site_type_symbol
_atom_site_fract_x
_atom_site_fract_y
_atom_site_fract_z
Nb1 Nb 0.0000 0.0000 0.0000
Nb2 Nb 0.1646 0.3354 0.1477
Si1 Si 0.1300 0.3700 0.5000
As1 As 0.0000 0.0000 0.2500
```

***

8.
An optimized crystal structure of SrNbSiAs2, computed with PBE-GGA.

Calculated values
The raw formation energy comes out at 0.3056 eV per atom.

```
data_SrNbSiAs2
_chemical_formula_sum 'Sr1 Nb1 Si1 As2'
_cell_length_a 5.0839
_cell_length_b 5.0839
_cell_length_c 4.8276
_cell_angle_alpha 90.00
_cell_angle_beta 90.00
_cell_angle_gamma 90.00
_space_group_name_H-M_alt 'P 4/m m m'
_space_group_IT_number 123
_space_group_name_Hall '-P 4 2'
loop_
_atom_site_label
_atom_site_type_symbol
_atom_site_fract_x
_atom_site_fract_y
_atom_site_fract_z
Sr1 Sr 0.0000 0.0000 0.0000
Nb1 Nb 0.5000 0.5000 0.0000
Si1 Si 0.5000 0.5000 0.5000
As1 As 0.0000 0.5000 0.5000
```

***

9.
An optimized crystal structure of NbVSi2As, computed with PBE-GGA.

Calculated values
The raw formation energy comes out at 0.7062 eV per atom.

```
data_NbVSi2As
_chemical_formula_sum 'Nb1 V1 Si2 As1'
_cell_length_a 4.5476
_cell_length_b 4.5476
_cell_length_c 4.6733
_cell_angle_alpha 90.00
_cell_angle_beta 90.00
_cell_angle_gamma 90.00
_space_group_name_H-M_alt 'P 4/m m m'
_space_group_IT_number 123
_space_group_name_Hall '-P 4 2'
loop_
_atom_site_label
_atom_site_type_symbol
_atom_site_fract_x
_atom_site_fract_y
_atom_site_fract_z
Nb1 Nb 0.0000 0.0000 0.0000
V1 V 0.0000 0.0000 0.5000
Si1 Si 0.0000 0.5000 0.5000
As1 As 0.5000 0.5000 0.0000
```

***

10.
An optimized crystal structure of SmNbAs, computed with PBE-GGA.

Calculated values
The value obtained for the formation energy from the elements is -0.861 eV/atom.

```
data_SmNbAs
_chemical_formula_sum 'Sm2 Nb2 As2'
_cell_length_a 4.0347
_cell_length_b 4.0347
_cell_length_c 7.9533
_cell_angle_alpha 90.00
_cell_angle_beta 90.00
_cell_angle_gamma 90.00
_space_group_name_H-M_alt 'P 4/n m m'
_space_group_IT_number 129
loop_
_space_group_symop_operation_xyz
'x,y,z'
'-x,-y,-z'
'-y+1/2,x,z'
'y+1/2,-x,-z'
'-x+1/2,-y+1/2,z'
'x+1/2,y+1/2,-z'
'y,-x+1/2,z'
'-y,x+1/2,-z'
'x+1/2,-y,-z'
'-x+1/2,y,z'
'-y,-x,-z'
'y,x,z'
'-x,y+1/2,-z'
'x,-y+1/2,z'
'y+1/2,x+1/2,-z'
'-y+1/2,-x+1/2,z'
loop_
_atom_site_label
_atom_site_type_symbol
_atom_site_fract_x
_atom_site_fract_y
_atom_site_fract_z
Sm1 Sm 0.2500 0.2500 0.1426
Nb1 Nb 0.2500 0.7500 0.5000
As1 As 0.2500 0.2500 0.7401
```

***

11.
An optimized crystal structure of Nb3SnAs, computed with PBE-GGA.

Calculated values
The value obtained for the energy above the most stable polymorph in this dataset is 0 kJ/mol of formula units. The value obtained for the formation energy from the elements is -0.029 eV/atom.

```
data_Nb3SnAs
_chemical_formula_sum 'Nb12 Sn4 As4'
_cell_length_a 11.4722
_cell_length_b 4.9497
_cell_length_c 7.1400
_cell_angle_alpha 90.00
_cell_angle_beta 91.06
_cell_angle_gamma 90.00
_space_group_name_H-M_alt 'C 1 2/m 1'
_space_group_IT_number 12
loop_
_space_group_symop_operation_xyz
'x,y,z'
'-x,-y,-z'
'-x,y,-z'
'x,-y,z'
'x+1/2,y+1/2,z'
'-x+1/2,-y+1/2,-z'
'-x+1/2,y+1/2,-z'
'x+1/2,-y+1/2,z'
loop_
_atom_site_label
_atom_site_type_symbol
_atom_site_fract_x
_atom_site_fract_y
_atom_site_fract_z
Nb1 Nb 0.0311 0.0000 0.3096
Nb2 Nb 0.1489 0.0000 0.9695
Nb3 Nb 0.1828 0.5000 0.7388
Sn1 Sn 0.0951 0.5000 0.1548
As1 As 0.1861 0.0000 0.5868
```

***

12.
An optimized crystal structure of Nb3SnAs, computed with PBE-GGA.

Calculated values
The value obtained for the energy above the most stable polymorph in this dataset is 847 kJ/mol of formula units. The value obtained for the formation energy from the elements is 1.726 eV/atom.

```
data_Nb3SnAs
_chemical_formula_sum 'Nb3 Sn1 As1'
_cell_length_a 5.0557
_cell_length_b 5.0557
_cell_length_c 5.0557
_cell_angle_alpha 90.00
_cell_angle_beta 90.00
_cell_angle_gamma 90.00
_space_group_name_H-M_alt 'P m -3 m'
_space_group_IT_number 221
_space_group_name_Hall '-P 4 2 3'
loop_
_atom_site_label
_atom_site_type_symbol
_atom_site_fract_x
_atom_site_fract_y
_atom_site_fract_z
Nb1 Nb 0.0000 0.0000 0.5000
Sn1 Sn 0.0000 0.0000 0.0000
As1 As 0.5000 0.5000 0.5000
```

***

13.
An optimized crystal structure of Nb3SnAs, computed with PBE-GGA.

Calculated values
The value obtained for the energy above the most stable polymorph in this dataset is 257 kJ/mol of formula units. The value obtained for the formation energy from the elements is 0.503 eV/atom.

```
data_Nb3SnAs
_chemical_formula_sum 'Nb3 Sn1 As1'
_cell_length_a 4.7801
_cell_length_b 4.7801
_cell_length_c 4.7801
_cell_angle_alpha 90.00
_cell_angle_beta 90.00
_cell_angle_gamma 90.00
_space_group_name_H-M_alt 'P m -3 m'
_space_group_IT_number 221
_space_group_name_Hall '-P 4 2 3'
loop_
_atom_site_label
_atom_site_type_symbol
_atom_site_fract_x
_atom_site_fract_y
_atom_site_fract_z
Nb1 Nb 0.0000 0.0000 0.5000
Sn1 Sn 0.5000 0.5000 0.5000
As1 As 0.0000 0.0000 0.0000
```

***

14.
An optimized crystal structure of TaNbSnAs2, computed with PBE-GGA.

Calculated values
The value obtained for the formation energy from the elements is 1.827 eV/atom.

```
data_TaNbSnAs2
_chemical_formula_sum 'Ta1 Nb1 Sn1 As2'
_cell_length_a 5.0075
_cell_length_b 5.0075
_cell_length_c 5.1702
_cell_angle_alpha 90.00
_cell_angle_beta 90.00
_cell_angle_gamma 90.00
_space_group_name_H-M_alt 'P 4/m m m'
_space_group_IT_number 123
_space_group_name_Hall '-P 4 2'
loop_
_atom_site_label
_atom_site_type_symbol
_atom_site_fract_x
_atom_site_fract_y
_atom_site_fract_z
Ta1 Ta 0.0000 0.0000 0.0000
Nb1 Nb 0.5000 0.5000 0.0000
Sn1 Sn 0.0000 0.0000 0.5000
As1 As 0.0000 0.5000 0.5000
```

***

Total energy per entry: -6.0541 -5.7639 -5.0112 -5.2397 -8.4502 -7.3221 -8.8853 -4.9892 -6.2306 -7.3403 -7.8018 -6.0464 -7.2696 -5.2178 eV/atom
Total magnetization per entry: 0.266 0.465 0.000 0.000 0.000 0.000 0.000 0.492 0.000 0.000 0.000 0.382 0.000 0.000 μB/atom
Calculated density per entry: 5.61 5.12 5.61 4.61 7.36 6.62 7.51 4.77 4.72 8.16 7.74 6.07 7.18 6.95 g cm⁻³